Al2IrAu: optimized geometry, PBE.

Properties
SG	R3m, No. 160
crystal system	trigonal
DFT total energy	-5.113	eV/atom

Cell and atoms, written as POSCAR:
```
Al2IrAu
1.0
8.665 -0.024 -0.014
8.170 2.886 -0.014
8.170 1.389 2.530
Ir Au Al
1 1 2
direct
0.743 0.743 0.743
0.503 0.503 0.503
0.005 0.005 0.005
0.250 0.250 0.250
```

Rh2SeCl: optimized geometry, PBE.

Properties
SG	R-3m, No. 166
crystal system	trigonal
formation energy from raw total energies	0.04	eV/atom

Cell and atoms, written as POSCAR:
```
Rh2SeCl
1.0
-0.798 6.245 -3.717
-2.557 6.784 -0.944
0.743 7.214 -0.931
Cl Rh Se
1 2 1
direct
0.750 0.750 0.750
0.991 0.991 0.991
0.509 0.509 0.509
0.250 0.250 0.250
```

| no. | total magnetization (μB/f.u.) |
| --- | --- |
| 1 | 0.000 |
| 2 | 0.000 |